# AgRu2Pb, relaxed, DFT PBEsol
# **D(E_F)**: 3.99 states/eV per cell
# **Magnetization**: 0.0 Bohr magnetons per cell
# **Formation energy**: 0.71 eV per atom
data_AgRu2Pb
_chemical_formula_sum 'Ag1 Ru2 Pb1'
_space_group_name_H-M_alt 'P 1 2/m 1'
_space_group_IT_number 10
_cell_length_a 2.8990
_cell_length_b 4.5551
_cell_length_c 5.1027
_cell_angle_alpha 90.00
_cell_angle_beta 92.53
_cell_angle_gamma 90.00
loop_
_space_group_symop_operation_xyz
'x,y,z'
'-x,-y,-z'
'-x,y,-z'
'x,-y,z'
loop_
_atom_site_label
_atom_site_type_symbol
_atom_site_fract_x
_atom_site_fract_y
_atom_site_fract_z
_atom_site_occupancy
Ag1 Ag 0.0000 0.0000 0.0000 1
Ru1 Ru 0.2767 0.5000 0.7806 1
Pb1 Pb 0.5000 0.0000 0.5000 1